A relaxed CrPPb4 crystal, computed with GGA-PBE.

## Properties
D(E_F) = 4.25 states/eV per cell
Energy relative to the elements = 815 meV per atom
Space group = F-43m (216)
Total moment = 4.3 μB per cell
Final energy = -24.98 eV per cell

Cell: 6.319 6.319 6.319 Å, 60.00 60.00 60.00°
Fractional positions:
1 Cr 0.000 0.000 0.000
2 P 0.750 0.750 0.750
3 Pb 0.375 0.375 0.375
4 Pb 0.375 0.375 0.875
5 Pb 0.375 0.875 0.375
6 Pb 0.875 0.375 0.375